A geometry-optimized Y2CuTe structure, computed with GGA-PBEsol.

Output
The theoretical density is 6.53 Mg/m³. The uncorrected formation energy comes out at -0.75 eV/atom.

Lattice parameters (Å, degrees): 4.0856 4.1447 11.0842 90.00 90.00 90.00
Closest atoms and distances in Å follow each position.
Element x y z (fractional)
Y1 0.0000 0.0000 0.0000  4 Cu 2.97, 3 Te 3.13-3.18
Y2 0.0000 0.5000 0.5000  4 Cu 2.97, 3 Te 3.13-3.18
Y3 0.5000 0.0000 0.2950  1 Cu 2.85, 4 Te 3.03
Y4 0.5000 0.5000 0.7950  1 Cu 2.85, 4 Te 3.03
Cu1 0.5000 0.0000 0.5519  2 Te 2.75, 5 Y 2.85-2.97
Cu2 0.5000 0.5000 0.0519  2 Te 2.75, 5 Y 2.85-2.97
Te1 0.0000 0.0000 0.7174  2 Cu 2.75, 4 Y 3.03
Te2 0.0000 0.5000 0.2174  2 Cu 2.75, 4 Y 3.03